RbLuFeS3 | GGA-PBE | relaxed

Results
- polymorph energy (0 for the lowest one) (meV per atom) = 13.8
- magnetic moment (μB per formula unit) = 4.00

a b c (Å): 7.6939 7.6939 10.2031
angles (deg): 90.00 90.00 29.44
Last column: nearest neighbours and their distance in Å.
Fractional positions:
Fe1 0.4669 0.4669 0.2500  4 S 2.28-2.36
Fe2 0.5331 0.5331 0.7500  4 S 2.28-2.36
Lu1 0.0000 0.0000 0.0000  6 S 2.68-2.69
Lu2 0.0000 0.0000 0.5000  6 S 2.68-2.69
Rb1 0.7424 0.7424 0.2500  8 S 3.39-3.70
Rb2 0.2576 0.2576 0.7500  8 S 3.39-3.70
S1 0.3835 0.3835 0.0624  1 Fe 2.28
S2 0.0563 0.0563 0.2500  2 Fe 2.36
S3 0.3835 0.3835 0.4376  1 Fe 2.28
S4 0.6165 0.6165 0.5624  1 Fe 2.28
S5 0.9437 0.9437 0.7500  2 Fe 2.36
S6 0.6165 0.6165 0.9376  1 Fe 2.28